The following is a PBE calculation of a relaxed NaTePdO4 crystal, from Alexandria.

The space group is Cmcm (No. 63) and the conventional cell measures 6.052, 9.330 and 7.319 Å, with angles of 90.00, 90.00 and 90.00 degrees. The inequivalent atoms are Na at (0.000, 0.000, 0.000), Te at (0.000, 0.354, 0.250), Pd at (0.000, 0.294, 0.750), O at (0.000, 0.253, 0.022) and O at (0.233, 0.488, 0.250).

Its formation energy without anion corrections is -0.787 eV per atom.

***

The following is a PBE calculation of a relaxed NiPdSe2N crystal, from Alexandria.

The space group is P4/mmm (No. 123) and the conventional cell measures 5.113, 5.113 and 3.649 Å, with angles of 90.00, 90.00 and 90.00 degrees. The inequivalent atoms are Ni at (0.000, 0.000, 0.000), Pd at (0.500, 0.500, 0.500), Se at (0.000, 0.500, 0.500) and N at (0.500, 0.500, 0.000).

Its formation energy without anion corrections is 1.048 eV per atom. As for the energy above the most stable polymorph in this dataset: 2.63 eV/f.u.

***

The following is a PBE calculation of a relaxed Tb2YHg crystal, from Alexandria.

The space group is P4/mmm (No. 123) and the conventional cell measures 4.807, 4.807 and 4.853 Å, with angles of 90.00, 90.00 and 90.00 degrees. The inequivalent atoms are Tb at (0.000, 0.500, 0.000), Y at (0.000, 0.000, 0.500) and Hg at (0.500, 0.500, 0.500).

The value obtained for the formation energy from the elements is -0.160 eV per atom. As for the energy above the most stable polymorph in this dataset: 0.25 eV/f.u.

***

The following is a PBE calculation of a relaxed KCo2Ni crystal, from Alexandria.

The space group is P2/m (No. 10) and the conventional cell measures 2.614, 3.598 and 7.445 Å, with angles of 90.00, 90.28 and 90.00 degrees. The inequivalent atoms are K at (0.000, 0.000, 0.000), Co at (0.497, 0.500, 0.350) and Ni at (0.000, 0.000, 0.500).

The value obtained for the formation energy from the elements is 0.665 eV per atom. As for the energy above the most stable polymorph in this dataset: 0.25 eV/f.u.

***

The following is a PBE calculation of a relaxed CsNpPdS4 crystal, from Alexandria.

The space group is P2_1/m (No. 11) and the conventional cell measures 6.557, 5.889 and 9.635 Å, with angles of 90.00, 107.42 and 90.00 degrees. The inequivalent atoms are Cs at (0.244, 0.250, 0.051), Np at (0.254, 0.250, 0.553), Pd at (0.220, 0.750, 0.342), S at (0.036, 0.535, 0.685), S at (0.454, 0.750, 0.581) and S at (0.465, 0.750, 0.199).

Its formation energy without anion corrections is -0.849 eV per atom.

***

The following is a PBE calculation of a relaxed KAcSnPb crystal, from Alexandria.

The space group is F-43m (No. 216) and the conventional cell measures 8.251, 8.251 and 8.251 Å, with angles of 90.00, 90.00 and 90.00 degrees. The inequivalent atoms are K at (0.000, 0.000, 0.000), Ac at (0.000, 0.000, 0.500), Sn at (0.250, 0.250, 0.250) and Pb at (0.250, 0.250, 0.750).

The value obtained for the formation energy from the elements is -0.261 eV per atom.

***

The following is a PBE calculation of a relaxed GeSbCl5 crystal, from Alexandria.

The space group is P2_1/c (No. 14) and the conventional cell measures 7.346, 14.079 and 12.212 Å, with angles of 90.00, 122.79 and 90.00 degrees. The inequivalent atoms are Ge at (0.057, 0.233, 0.426), Sb at (0.413, 0.027, 0.793), Cl at (0.076, 0.175, 0.609), Cl at (0.095, 0.577, 0.226), Cl at (0.270, 0.693, 0.661), Cl at (0.326, 0.082, 0.033) and Cl at (0.473, 0.530, 0.134).

Its formation energy without anion corrections is -0.811 eV per atom. As for the energy above the most stable polymorph in this dataset: 0.00 eV/f.u.

***

The following is a PBE calculation of a relaxed Be2SBr crystal, from Alexandria.

The space group is P1 (No. 1) and the conventional cell measures 3.519, 6.229 and 8.630 Å, with angles of 102.62, 90.14 and 106.19 degrees. The inequivalent atoms are Be at (0.000, 0.000, 0.000), Be at (0.022, 0.044, 0.750), Be at (0.277, 0.556, 0.046), Be at (0.820, 0.646, 0.857), S at (0.223, 0.450, 0.798), S at (0.871, 0.745, 0.118), Br at (0.152, 0.297, 0.186) and Br at (0.479, 0.960, 0.589).

Its formation energy without anion corrections is -0.602 eV per atom. As for the energy above the most stable polymorph in this dataset: 0.41 eV/f.u.

***

The following is a PBE calculation of a relaxed PmY14Cd crystal, from Alexandria.

The space group is Amm2 (No. 38) and the conventional cell measures 11.305, 7.234 and 12.491 Å, with angles of 90.00, 90.00 and 90.00 degrees. The inequivalent atoms are Pm at (0.000, 0.000, 0.000), Y at (0.000, 0.242, 0.760), Y at (0.244, 0.000, 0.343), Y at (0.244, 0.249, 0.591), Y at (0.255, 0.000, 0.841), Y at (0.500, 0.000, 0.011), Y at (0.500, 0.000, 0.510), Y at (0.500, 0.248, 0.258) and Cd at (0.000, 0.000, 0.509).

The value obtained for the formation energy from the elements is -0.023 eV per atom.

***

The following is a PBE calculation of a relaxed Cu5HgBr12 crystal, from Alexandria.

The space group is P-1 (No. 2) and the conventional cell measures 6.244, 6.850 and 13.675 Å, with angles of 80.18, 80.86 and 65.35 degrees. The inequivalent atoms are Cu at (0.000, 0.000, 0.000), Cu at (0.331, 0.358, 0.494), Cu at (0.332, 0.334, 0.000), Hg at (0.000, 0.000, 0.500), Br at (0.018, 0.426, 0.389), Br at (0.032, 0.239, 0.110), Br at (0.300, 0.095, 0.890), Br at (0.351, 0.890, 0.617), Br at (0.366, 0.572, 0.110) and Br at (0.398, 0.717, 0.382).

Its formation energy without anion corrections is -0.261 eV per atom.

***

The following is a PBE calculation of a relaxed Be2ReNi2 crystal, from Alexandria.

The space group is P4/mbm (No. 127) and the conventional cell measures 6.362, 6.362 and 2.543 Å, with angles of 90.00, 90.00 and 90.00 degrees. The inequivalent atoms are Be at (0.127, 0.373, 0.000), Re at (0.000, 0.000, 0.000) and Ni at (0.167, 0.667, 0.500).

The value obtained for the formation energy from the elements is -0.223 eV per atom. As for the energy above the most stable polymorph in this dataset: 0.00 eV/f.u.

***

The following is a PBE calculation of a relaxed YCd11Pb crystal, from Alexandria.

The space group is C2/m (No. 12) and the conventional cell measures 6.494, 13.991 and 7.657 Å, with angles of 90.00, 114.98 and 90.00 degrees. The inequivalent atoms are Y at (0.000, 0.000, 0.000), Cd at (0.000, 0.500, 0.500), Cd at (0.082, 0.392, 0.210), Cd at (0.188, 0.177, 0.346), Cd at (0.250, 0.250, 0.000) and Pb at (0.000, 0.000, 0.500).

The value obtained for the formation energy from the elements is -0.018 eV per atom.

***

| no. | total magnetic moment (μB/cell) |
| --- | --- |
| 1 | 0.00 |
| 2 | 1.76 |
| 3 | 0.64 |
| 4 | 4.16 |
| 5 | 3.56 |
| 6 | 0.00 |
| 7 | 0.00 |
| 8 | 0.00 |
| 9 | 0.10 |
| 10 | 4.62 |
| 11 | 0.00 |
| 12 | 0.00 |